No. 1
Density functional theory data (PBE) for a relaxed HgOs2Cl crystal.

The energy above the most stable polymorph in this dataset is 0.1212 eV per atom.

The structure belongs to space group R3m (No. 160, hexagonal axes); the cell edges are 2.8727, 2.8727 and 30.9213 Å and the angles 90.00°, 90.00° and 120.00°. Symmetry generates all atoms from Hg at (0.0000, 0.0000, 0.0000), Os at (0.0000, 0.0000, 0.4822), Os at (0.0000, 0.0000, 0.7509) and Cl at (0.0000, 0.0000, 0.2142).


No. 2
Density functional theory data (PBE) for a relaxed Fe3Co4 crystal.

The energy above the most stable polymorph in this dataset is 0.2823 eV per atom. The formation energy is 0.245 eV per atom.

The structure belongs to space group Fmmm (No. 69); the cell edges are 2.655, 4.064 and 29.951 Å and the angles 90.00°, 90.00° and 90.00°. Symmetry generates all atoms from Fe at (0.000, 0.000, 0.000), Fe at (0.000, 0.000, 0.079), Co at (0.000, 0.000, 0.216) and Co at (0.000, 0.000, 0.352).


No. 3
Density functional theory data (PBE) for a relaxed SrCaAs2 crystal.

The energy above the most stable polymorph in this dataset is 0.5010 eV per atom. The formation energy is -0.470 eV per atom.

The structure belongs to space group R3m (No. 160, hexagonal axes); the cell edges are 4.5927, 4.5927 and 22.0416 Å and the angles 90.00°, 90.00° and 120.00°. Symmetry generates all atoms from Sr at (0.0000, 0.0000, 0.0000), Ca at (0.0000, 0.0000, 0.1719), As at (0.0000, 0.0000, 0.4180) and As at (0.0000, 0.0000, 0.7659).


No. 4
Density functional theory data (PBE) for a relaxed Y2TcPt crystal.

The formation energy is 0.331 eV per atom.

The structure belongs to space group I-42d (No. 122); the cell edges are 4.498, 4.498 and 18.425 Å and the angles 90.00°, 90.00° and 90.00°. Symmetry generates all atoms from Y at (0.246, 0.250, 0.125), Tc at (0.000, 0.000, 0.000) and Pt at (0.000, 0.000, 0.500).


No. 5
Density functional theory data (PBE) for a relaxed CsPrTiSe4 crystal.

The value obtained for the total energy is -0.1987 hartree per atom.

The structure belongs to space group P2_1/m (No. 11); the cell edges are 7.032, 7.138 and 9.972 Å and the angles 90.00°, 108.28° and 90.00°. Symmetry generates all atoms from Cs at (0.231, 0.250, 0.438), Pr at (0.280, 0.250, 0.955), Ti at (0.277, 0.750, 0.166), Se at (0.073, 0.750, 0.316), Se at (0.073, 0.750, 0.928) and Se at (0.489, 0.507, 0.797).


No. 6
Density functional theory data (PBE) for a relaxed RbZnRh3 crystal.

The energy above the most stable polymorph in this dataset is 1.2778 eV per atom. The formation energy is 2.231 eV per atom.

The structure belongs to space group Pm-3m (No. 221); the cell edges are 4.825, 4.825 and 4.825 Å and the angles 90.00°, 90.00° and 90.00°. Symmetry generates all atoms from Rb at (0.000, 0.000, 0.000), Zn at (0.500, 0.500, 0.500) and Rh at (0.000, 0.000, 0.500).


No. 7
Density functional theory data (PBE) for a relaxed Ce3SmTh4Sb8 crystal.

The value obtained for the total energy is -0.2327 hartree per atom.

The structure belongs to space group R-3m (No. 166, hexagonal axes); the cell edges are 9.0024, 9.0024 and 22.0609 Å and the angles 90.00°, 90.00° and 120.00°. Symmetry generates all atoms from Ce at (0.0000, 0.5000, 0.0000), Sm at (0.0000, 0.0000, 0.0000), Th at (0.0000, 0.0000, 0.5000), Th at (0.0000, 0.5000, 0.5000), Sb at (0.0000, 0.0000, 0.2504) and Sb at (0.0006, 0.5003, 0.7494).


No. 8
Density functional theory data (PBE) for a relaxed Gd2YAg crystal.

The energy above the most stable polymorph in this dataset is 0.0000 eV per atom. The formation energy is -0.120 eV per atom.

The structure belongs to space group P4/mmm (No. 123); the cell edges are 3.640, 3.640 and 8.733 Å and the angles 90.00°, 90.00° and 90.00°. Symmetry generates all atoms from Gd at (0.000, 0.000, 0.214), Y at (0.500, 0.500, 0.500) and Ag at (0.500, 0.500, 0.000).